1.
Entry from Alexandria: a relaxed MgHgTe2Cl crystal (GGA-PBEsol).

Lattice parameters (Å, degrees): 5.2890 5.2890 5.6134 90.00 90.00 90.00
With the nearest neighbours (Å) after each atom.
Sites, in units of the cell vectors:
Mg: 0.0000 0.0000 0.0000  4 Hg 3.74, 8 Te 3.86
Hg: 0.5000 0.5000 0.0000  2 Cl 2.81
Te: 0.0000 0.5000 0.5000  2 Cl 2.64
Te: 0.5000 0.0000 0.5000  2 Cl 2.64
Cl: 0.5000 0.5000 0.5000  4 Te 2.64, 2 Hg 2.81

Summary:
The value obtained for the uncorrected formation energy is 0.3592 eV per atom. The value obtained for the spin magnetization is 0.0 μB per formula unit. The electronic total energy is -1.91 eV/atom.

2.
Entry from Alexandria: a relaxed MnHgCl2 crystal (GGA-PBEsol).

Lattice parameters (Å, degrees): 3.6544 4.1279 5.5071 90.00 90.00 90.00
With the nearest neighbours (Å) after each atom.
Sites, in units of the cell vectors:
Mn: 0.0000 0.0000 0.0000  4 Cl 2.76
Hg: 0.5000 0.0000 0.5000  4 Cl 2.76
Cl: 0.0000 0.5000 0.5000  4 Hg 2.76
Cl: 0.5000 0.5000 0.0000  4 Mn 2.76

Summary:
The value obtained for the uncorrected formation energy is 0.0299 eV per atom. The value obtained for the spin magnetization is 4.4 μB per formula unit. The electronic total energy is -3.56 eV/atom. As for the energy above the most stable polymorph in this dataset: 0.6849 eV/atom.

3.
Entry from Alexandria: a relaxed MnHgCl2 crystal (GGA-PBEsol).

Lattice parameters (Å, degrees): 9.3738 9.3738 9.3738 21.95 21.95 21.95
With the nearest neighbours (Å) after each atom.
Sites, in units of the cell vectors:
Mn: 0.0000 0.0000 0.0000  6 Cl 2.50
Hg: 0.5000 0.5000 0.5000  6 Hg 3.57, 6 Cl 3.77
Cl: 0.2820 0.2820 0.2820  3 Mn 2.50
Cl: 0.7180 0.7180 0.7180  3 Mn 2.50

Summary:
The value obtained for the uncorrected formation energy is -0.6550 eV per atom. The value obtained for the spin magnetization is 5.0 μB per formula unit. The electronic total energy is -4.24 eV/atom. As for the energy above the most stable polymorph in this dataset: 0.0000 eV/atom.

4.
Entry from Alexandria: a relaxed MnHgSbCl2 crystal (GGA-PBEsol).

Lattice parameters (Å, degrees): 4.9835 4.9835 5.5915 90.00 90.00 90.00
With the nearest neighbours (Å) after each atom.
Sites, in units of the cell vectors:
Mn: 0.0000 0.0000 0.0000  2 Hg 2.80
Hg: 0.0000 0.0000 0.5000  4 Cl 2.49
Sb: 0.5000 0.5000 0.0000  4 Mn 3.52, 8 Cl 3.74
Cl: 0.0000 0.5000 0.5000  2 Hg 2.49
Cl: 0.5000 0.0000 0.5000  2 Hg 2.49

Summary:
The value obtained for the uncorrected formation energy is 0.6129 eV per atom. The value obtained for the spin magnetization is 3.4 μB per formula unit. The electronic total energy is -3.17 eV/atom.

5.
Entry from Alexandria: a relaxed HgMo2Cl crystal (GGA-PBEsol).

Lattice parameters (Å, degrees): 4.5772 4.5772 4.5772 60.00 60.00 60.00
With the nearest neighbours (Å) after each atom.
Sites, in units of the cell vectors:
Hg: 0.0000 0.0000 0.0000  4 Mo 2.80, 4 Cl 2.80
Mo: 0.2500 0.2500 0.2500  4 Mo 2.80, 4 Hg 2.80
Mo: 0.5000 0.5000 0.5000  4 Mo 2.80, 4 Cl 2.80
Cl: 0.7500 0.7500 0.7500  4 Mo 2.80, 4 Hg 2.80

Summary:
The value obtained for the uncorrected formation energy is 0.9517 eV per atom. The value obtained for the spin magnetization is 0.0 μB per formula unit. The electronic total energy is -5.58 eV/atom. As for the energy above the most stable polymorph in this dataset: 0.3148 eV/atom.

6.
Entry from Alexandria: a relaxed HgMo2Cl crystal (GGA-PBEsol).

Lattice parameters (Å, degrees): 3.8874 3.8874 4.5629 90.00 90.00 90.00
With the nearest neighbours (Å) after each atom.
Sites, in units of the cell vectors:
Hg: 0.0000 0.0000 0.0000  4 Cl 2.75, 8 Mo 3.00
Mo: 0.0000 0.5000 0.5000  4 Mo 2.75, 4 Hg 3.00, 4 Cl 3.00
Mo: 0.5000 0.0000 0.5000  4 Mo 2.75, 4 Hg 3.00, 4 Cl 3.00
Cl: 0.5000 0.5000 0.0000  4 Hg 2.75, 8 Mo 3.00

Summary:
The value obtained for the uncorrected formation energy is 1.1031 eV per atom. The value obtained for the spin magnetization is 0.0 μB per formula unit. The electronic total energy is -5.42 eV/atom. As for the energy above the most stable polymorph in this dataset: 0.4662 eV/atom.

7.
Entry from Alexandria: a relaxed HgMoCl crystal (GGA-PBEsol).

Lattice parameters (Å, degrees): 4.7969 4.7969 4.7969 60.00 60.00 60.00
With the nearest neighbours (Å) after each atom.
Sites, in units of the cell vectors:
Hg: 0.0000 0.0000 0.0000  4 Cl 2.94, 4 Mo 2.94
Mo: 0.2500 0.2500 0.2500  4 Hg 2.94
Cl: 0.7500 0.7500 0.7500  4 Hg 2.94

Summary:
The value obtained for the uncorrected formation energy is 1.2987 eV per atom. The value obtained for the spin magnetization is 4.7 μB per formula unit. The electronic total energy is -3.48 eV/atom.

8.
Entry from Alexandria: a relaxed HgMo2Cl crystal (GGA-PBEsol).

Lattice parameters (Å, degrees): 2.9326 2.9326 9.2121 90.00 90.00 122.36
With the nearest neighbours (Å) after each atom.
Sites, in units of the cell vectors:
Hg: 0.0000 0.0000 0.0000  6 Hg 2.83-2.93, 4 Mo 2.86
Mo: 0.5000 0.5000 0.2701  2 Cl 2.55, 2 Mo 2.83
Mo: 0.5000 0.5000 0.7299  2 Cl 2.55, 2 Mo 2.83
Cl: 0.0000 0.0000 0.5000  4 Mo 2.55, 2 Cl 2.83

Summary:
The value obtained for the uncorrected formation energy is 0.6369 eV per atom. The value obtained for the spin magnetization is 0.0 μB per formula unit. The electronic total energy is -5.89 eV/atom. As for the energy above the most stable polymorph in this dataset: 0.0000 eV/atom.

9.
Entry from Alexandria: a relaxed HgMoCl2 crystal (GGA-PBEsol).

Lattice parameters (Å, degrees): 5.6807 5.6807 5.6807 144.50 113.49 77.72
With the nearest neighbours (Å) after each atom.
Sites, in units of the cell vectors:
Hg: 0.0000 0.0000 0.0000  2 Cl 2.69, 2 Mo 2.81
Mo: 0.2495 0.7495 0.5000  2 Cl 2.40
Cl: 0.4369 0.4369 0.0000  2 Mo 2.40
Cl: 0.7668 0.2668 0.5000  2 Hg 2.69

Summary:
The value obtained for the uncorrected formation energy is 0.1844 eV per atom. The value obtained for the spin magnetization is 4.0 μB per formula unit. The electronic total energy is -3.90 eV/atom.

10.
Entry from Alexandria: a relaxed HgMo2Cl crystal (GGA-PBEsol).

Lattice parameters (Å, degrees): 2.8213 4.7904 5.0888 90.00 90.00 90.00
With the nearest neighbours (Å) after each atom.
Sites, in units of the cell vectors:
Hg: 0.0000 0.0000 0.0000  4 Mo 2.78, 2 Hg 2.82, 4 Cl 2.91
Mo: 0.0000 0.5000 0.5000  4 Cl 2.78, 6 Mo 2.82-2.91
Mo: 0.5000 0.5000 0.0000  4 Hg 2.78, 6 Mo 2.82-2.91
Cl: 0.5000 0.0000 0.5000  4 Mo 2.78, 2 Cl 2.82, 4 Hg 2.91

Summary:
The value obtained for the uncorrected formation energy is 0.7831 eV per atom. The value obtained for the spin magnetization is 0.0 μB per formula unit. The electronic total energy is -5.74 eV/atom. As for the energy above the most stable polymorph in this dataset: 0.1463 eV/atom.

11.
Entry from Alexandria: a relaxed SiHgMoCl2 crystal (GGA-PBEsol).

Lattice parameters (Å, degrees): 4.7534 4.7534 5.2392 90.00 90.00 90.00
With the nearest neighbours (Å) after each atom.
Sites, in units of the cell vectors:
Si: 0.0000 0.0000 0.0000  4 Cl 2.38, 2 Mo 2.62
Hg: 0.5000 0.5000 0.5000  4 Mo 3.36, 8 Cl 3.54
Mo: 0.0000 0.0000 0.5000  2 Si 2.62
Cl: 0.0000 0.5000 0.0000  2 Si 2.38
Cl: 0.5000 0.0000 0.0000  2 Si 2.38

Summary:
The value obtained for the uncorrected formation energy is 0.5835 eV per atom. The value obtained for the spin magnetization is 4.4 μB per formula unit. The electronic total energy is -3.84 eV/atom.

12.
Entry from Alexandria: a relaxed HgNCl3 crystal (GGA-PBEsol).

Lattice parameters (Å, degrees): 3.9321 3.9321 7.5743 90.00 90.00 90.00
With the nearest neighbours (Å) after each atom.
Sites, in units of the cell vectors:
Hg: 0.0000 0.0000 0.0000  2 Cl 2.36
N: 0.5000 0.5000 0.5000  8 Cl 3.13
Cl: 0.0000 0.0000 0.3116  1 Hg 2.36
Cl: 0.0000 0.0000 0.6884  1 Hg 2.36
Cl: 0.5000 0.5000 0.0000  4 Hg 2.78

Summary:
The value obtained for the uncorrected formation energy is 0.8795 eV per atom. The value obtained for the spin magnetization is 2.5 μB per formula unit. The electronic total energy is -2.14 eV/atom.

13.
Entry from Alexandria: a relaxed HgSe2NCl crystal (GGA-PBEsol).

Lattice parameters (Å, degrees): 5.4121 5.4121 4.0891 90.00 90.00 90.00
With the nearest neighbours (Å) after each atom.
Sites, in units of the cell vectors:
Hg: 0.0000 0.0000 0.0000  2 N 2.04
Se: 0.0000 0.5000 0.0000  2 Hg 2.71
Se: 0.5000 0.0000 0.0000  2 Hg 2.71
N: 0.0000 0.0000 0.5000  2 Hg 2.04
Cl: 0.5000 0.5000 0.5000  8 Se 3.39

Summary:
The value obtained for the uncorrected formation energy is 1.3834 eV per atom. The value obtained for the spin magnetization is 4.6 μB per formula unit. The electronic total energy is -2.38 eV/atom.